Entry from Alexandria: a relaxed La4DyTm3 crystal (GGA-PBE).

abc: 5.133 10.209 10.268
angles: 90.00 90.00 90.00
Positions (direct):
Dy: 0.064 0.385 0.000
Dy: 0.564 0.615 0.500
Tm: 0.564 0.616 0.000
Tm: 0.064 0.615 0.250
Tm: 0.564 0.385 0.250
Tm: 0.064 0.384 0.500
Tm: 0.564 0.385 0.750
Tm: 0.064 0.615 0.750
La: 0.064 0.871 0.000
La: 0.564 0.128 0.000
La: 0.064 0.128 0.250
La: 0.564 0.872 0.250
La: 0.064 0.872 0.500
La: 0.564 0.129 0.500
La: 0.564 0.872 0.750
La: 0.064 0.128 0.750

Results
DOS(E_F), states/eV/cell: 26.607
M_tot, μB per cell: 0.00
Space-group type: No. 59
Calculated formation energy, eV/atom: 0.034
E_tot, eV/cell: -74.9



Entry from Alexandria: a relaxed La4Dy2Tm5 crystal (GGA-PBE).

abc: 3.665 9.591 12.092
angles: 67.01 81.27 67.57
Positions (direct):
La: 0.201 0.117 0.364
La: 0.669 0.291 0.080
La: 0.799 0.883 0.636
La: 0.331 0.709 0.920
Dy: 0.836 0.552 0.224
Dy: 0.164 0.448 0.776
Tm: 0.996 0.130 0.749
Tm: 0.004 0.870 0.251
Tm: 0.592 0.658 0.499
Tm: 0.500 0.000 0.000
Tm: 0.408 0.342 0.501

Results
DOS(E_F), states/eV/cell: 16.405
M_tot, μB per cell: 0.00
Space-group type: No. 12
Calculated formation energy, eV/atom: 0.048
E_tot, eV/cell: -50.7



Entry from Alexandria: a relaxed LaDy12Tm6 crystal (GGA-PBE).

abc: 8.491 8.491 8.491
angles: 88.39 88.39 88.39
Positions (direct):
La: 0.000 0.000 0.000
Dy: 0.774 0.544 0.434
Dy: 0.434 0.774 0.544
Dy: 0.544 0.434 0.774
Dy: 0.226 0.456 0.566
Dy: 0.566 0.226 0.456
Dy: 0.456 0.566 0.226
Dy: 0.009 0.208 0.358
Dy: 0.792 0.642 0.991
Dy: 0.642 0.991 0.792
Dy: 0.991 0.792 0.642
Dy: 0.208 0.358 0.009
Dy: 0.358 0.009 0.208
Tm: 0.743 0.906 0.312
Tm: 0.688 0.257 0.094
Tm: 0.094 0.688 0.257
Tm: 0.257 0.094 0.688
Tm: 0.312 0.743 0.906
Tm: 0.906 0.312 0.743

Results
DOS(E_F), states/eV/cell: 34.138
M_tot, μB per cell: 0.00
Space-group type: No. 148
Calculated formation energy, eV/atom: 0.155
E_tot, eV/cell: -84.0



Entry from Alexandria: a relaxed La4Dy8Tm3 crystal (GGA-PBE).

abc: 6.785 9.338 9.338
angles: 87.06 111.46 111.46
Positions (direct):
La: 0.500 0.000 0.000
La: 0.000 0.500 0.000
La: 0.000 0.000 0.000
La: 0.000 0.000 0.500
Dy: 0.523 0.269 0.269
Dy: 0.000 0.636 0.364
Dy: 0.006 0.274 0.274
Dy: 0.500 0.743 0.257
Dy: 0.500 0.257 0.743
Dy: 0.994 0.726 0.726
Dy: 0.000 0.364 0.636
Dy: 0.477 0.731 0.731
Tm: 0.500 0.500 0.000
Tm: 0.500 0.000 0.500
Tm: 0.500 0.500 0.500

Results
DOS(E_F), states/eV/cell: 29.765
M_tot, μB per cell: 0.02
Space-group type: No. 12
Calculated formation energy, eV/atom: 0.352
E_tot, eV/cell: -64.7



Entry from Alexandria: a relaxed LaDy5Tm6 crystal (GGA-PBE).

abc: 6.123 6.120 11.680
angles: 85.00 79.96 59.98
Positions (direct):
Dy: 0.167 0.666 0.500
Dy: 0.333 0.333 0.000
Dy: 0.500 0.000 0.500
Dy: 0.667 0.667 0.000
Dy: 0.833 0.334 0.500
Tm: 0.582 0.335 0.252
Tm: 0.084 0.335 0.748
Tm: 0.749 0.000 0.748
Tm: 0.251 0.000 0.252
Tm: 0.916 0.665 0.252
Tm: 0.418 0.665 0.748
La: 0.000 0.000 0.000

Results
DOS(E_F), states/eV/cell: 15.725
M_tot, μB per cell: 0.00
Space-group type: No. 12
Calculated formation energy, eV/atom: 0.025
E_tot, eV/cell: -54.5



Entry from Alexandria: a relaxed La2Dy3Tm4 crystal (GGA-PBE).

abc: 6.904 6.904 8.481
angles: 99.12 99.12 127.63
Positions (direct):
La: 0.615 0.615 0.231
La: 0.385 0.385 0.769
Dy: 0.500 0.000 0.000
Dy: 0.000 0.500 0.000
Dy: 0.000 0.000 0.000
Tm: 0.332 0.045 0.376
Tm: 0.668 0.955 0.624
Tm: 0.955 0.668 0.624
Tm: 0.045 0.332 0.376

Results
DOS(E_F), states/eV/cell: 17.093
M_tot, μB per cell: 0.02
Space-group type: No. 69
Calculated formation energy, eV/atom: 0.186
E_tot, eV/cell: -39.9



Entry from Alexandria: a relaxed LaDy2Tm2 crystal (GGA-PBE).

abc: 9.410 9.410 3.711
angles: 90.00 90.00 90.00
Positions (direct):
La: 0.000 0.000 0.000
La: 0.500 0.500 0.000
Dy: 0.125 0.625 0.000
Dy: 0.625 0.875 0.000
Dy: 0.875 0.375 0.000
Dy: 0.375 0.125 0.000
Tm: 0.329 0.829 0.500
Tm: 0.829 0.671 0.500
Tm: 0.671 0.171 0.500
Tm: 0.171 0.329 0.500

Results
DOS(E_F), states/eV/cell: 11.910
M_tot, μB per cell: 0.00
Space-group type: No. 127
Calculated formation energy, eV/atom: 0.075
E_tot, eV/cell: -45.4



Entry from Alexandria: a relaxed La4Dy2Tm3 crystal (GGA-PBE).

abc: 3.666 11.658 9.267
angles: 128.97 90.44 90.00
Positions (direct):
La: 0.228 0.617 0.741
La: 0.772 0.383 0.259
La: 0.772 0.876 0.259
La: 0.228 0.124 0.741
Dy: 0.218 0.712 0.424
Dy: 0.782 0.288 0.576
Tm: 0.738 0.907 0.814
Tm: 0.262 0.093 0.186
Tm: 0.500 0.500 0.000

Results
DOS(E_F), states/eV/cell: 14.087
M_tot, μB per cell: 0.00
Space-group type: No. 12
Calculated formation energy, eV/atom: 0.123
E_tot, eV/cell: -41.2



Entry from Alexandria: a relaxed LaDy3Tm6 crystal (GGA-PBE).

abc: 8.862 8.964 8.964
angles: 116.82 90.00 90.00
Positions (direct):
La: 0.008 0.225 0.775
La: 0.508 0.775 0.225
Dy: 0.435 0.970 0.687
Dy: 0.935 0.687 0.970
Dy: 0.417 0.546 0.454
Dy: 0.917 0.454 0.546
Dy: 0.935 0.030 0.313
Dy: 0.435 0.313 0.030
Tm: 0.104 0.814 0.697
Tm: 0.604 0.697 0.814
Tm: 0.276 0.528 0.827
Tm: 0.776 0.827 0.528
Tm: 0.288 0.948 0.052
Tm: 0.642 0.290 0.710
Tm: 0.142 0.710 0.290
Tm: 0.788 0.052 0.948
Tm: 0.276 0.173 0.472
Tm: 0.776 0.472 0.173
Tm: 0.104 0.303 0.186
Tm: 0.604 0.186 0.303

Results
DOS(E_F), states/eV/cell: 25.509
M_tot, μB per cell: 0.00
Space-group type: No. 36
Calculated formation energy, eV/atom: 0.139
E_tot, eV/cell: -88.3



Entry from Alexandria: a relaxed La3Dy2Tm7 crystal (GGA-PBE).

abc: 3.534 6.314 17.948
angles: 103.91 90.00 90.00
Positions (direct):
La: 0.500 0.500 0.000
La: 0.000 0.886 0.341
La: 0.000 0.114 0.659
Dy: 0.500 0.379 0.325
Dy: 0.500 0.621 0.675
Tm: 0.500 0.249 0.501
Tm: 0.500 0.751 0.499
Tm: 0.000 0.435 0.165
Tm: 0.000 0.000 0.000
Tm: 0.000 0.565 0.835
Tm: 0.500 0.057 0.835
Tm: 0.500 0.943 0.165

Results
DOS(E_F), states/eV/cell: 17.797
M_tot, μB per cell: 0.00
Space-group type: No. 10
Calculated formation energy, eV/atom: 0.097
E_tot, eV/cell: -54.1